Entry 1:
Below is crystalline LuPaZnHg at its relaxed geometry, with properties calculated at the GGA-PBE level.

Crystal system: cubic
Magnetic moment (Bohr magnetons per cell): 1.51
Formation energy (eV/f.u.): -0.056
Uncorrected energy (eV/f.u.): -15.65

Cell: 5.126 5.126 5.126 Å, 60.00 60.00 60.00°
Site moments in Bohr magnetons follow the coordinates.
Sites, in units of the cell vectors:
Pa 0.250 0.250 0.250  0.85
Hg 0.500 0.500 0.500  0.02
Zn 0.000 0.000 0.000  0.02
Lu 0.750 0.750 0.750  0.25

Entry 2:
Below is crystalline TbNd2Co9 at its relaxed geometry, with properties calculated at the GGA-PBE level.

Crystal system: trigonal
Magnetic moment (Bohr magnetons per cell): 10.32
Formation energy (eV/f.u.): -0.949
Uncorrected energy (eV/f.u.): -79.07

Cell: 5.009 5.009 8.794 Å, 73.46 73.46 60.00°
Site moments in Bohr magnetons follow the coordinates.
Sites, in units of the cell vectors:
Co 0.577 0.081 0.764  1.30
Co 0.333 0.333 0.000  1.47
Co 0.081 0.577 0.764  1.30
Co 0.500 0.500 0.500  1.05
Co 0.577 0.577 0.764  1.30
Co 0.667 0.667 0.000  1.47
Co 0.919 0.423 0.236  1.30
Co 0.423 0.919 0.236  1.30
Co 0.423 0.423 0.236  1.30
Nd 0.861 0.861 0.418  -0.25
Nd 0.139 0.139 0.582  -0.25
Tb 0.000 0.000 0.000  -0.31

Entry 3:
Below is crystalline Ac6Ir3Pt2Se at its relaxed geometry, with properties calculated at the GGA-PBE level.

Crystal system: monoclinic
E_form (uncorrected) (eV/atom): -0.984
Magnetic moment (Bohr magnetons per cell): 0.00
Uncorrected energy (eV/f.u.): -78.60

Cell: 4.365 8.810 9.812 Å, 103.19 102.85 90.00°
Sites, in units of the cell vectors:
Pt 0.166 0.332 0.332
Pt 0.834 0.668 0.668
Ac 0.334 0.411 0.667
Ac 0.666 0.589 0.333
Ac 0.327 0.921 0.654
Ac 0.997 0.266 0.994
Ac 0.003 0.734 0.006
Ac 0.673 0.079 0.346
Ir 0.836 0.169 0.673
Ir 0.500 0.500 0.000
Ir 0.164 0.831 0.327
Se 0.500 0.000 0.000

Copy entry 3 word for word.
Below is crystalline Ac6Ir3Pt2Se at its relaxed geometry, with properties calculated at the GGA-PBE level.

Crystal system: monoclinic
E_form (uncorrected) (eV/atom): -0.984
Magnetic moment (Bohr magnetons per cell): 0.00
Uncorrected energy (eV/f.u.): -78.60

Cell: 4.365 8.810 9.812 Å, 103.19 102.85 90.00°
Sites, in units of the cell vectors:
Pt 0.166 0.332 0.332
Pt 0.834 0.668 0.668
Ac 0.334 0.411 0.667
Ac 0.666 0.589 0.333
Ac 0.327 0.921 0.654
Ac 0.997 0.266 0.994
Ac 0.003 0.734 0.006
Ac 0.673 0.079 0.346
Ir 0.836 0.169 0.673
Ir 0.500 0.500 0.000
Ir 0.164 0.831 0.327
Se 0.500 0.000 0.000

What did the third record say?
Below is crystalline Ac6Ir3Pt2Se at its relaxed geometry, with properties calculated at the GGA-PBE level.

Crystal system: monoclinic
E_form (uncorrected) (eV/atom): -0.984
Magnetic moment (Bohr magnetons per cell): 0.00
Uncorrected energy (eV/f.u.): -78.60

Cell: 4.365 8.810 9.812 Å, 103.19 102.85 90.00°
Sites, in units of the cell vectors:
Pt 0.166 0.332 0.332
Pt 0.834 0.668 0.668
Ac 0.334 0.411 0.667
Ac 0.666 0.589 0.333
Ac 0.327 0.921 0.654
Ac 0.997 0.266 0.994
Ac 0.003 0.734 0.006
Ac 0.673 0.079 0.346
Ir 0.836 0.169 0.673
Ir 0.500 0.500 0.000
Ir 0.164 0.831 0.327
Se 0.500 0.000 0.000

Question: Which value of uncorrected energy does entry 2 give?
Answer: -79.07 eV/f.u.